Entry 1:
Computed, not measured: AcGe2Pt6 after structural relaxation at the PBE-GGA level of DFT.

The structure in CIF format:
```
data_AcGe2Pt6
_chemical_formula_sum 'Ac1 Ge2 Pt6'
_cell_length_a 5.6740
_cell_length_b 5.6740
_cell_length_c 6.6659
_cell_angle_alpha 90.00
_cell_angle_beta 90.00
_cell_angle_gamma 120.00
_symmetry_space_group_name_H-M 'P 6/m m m'
_symmetry_Int_Tables_number 191
_symmetry_space_group_name_Hall '-P 6 2'
loop_
_atom_site_label
_atom_site_type_symbol
_atom_site_fract_x
_atom_site_fract_y
_atom_site_fract_z
Ac1 Ac 0.0000 0.0000 0.0000
Ge1 Ge 0.3333 0.6667 0.5000
Pt1 Pt 0.0000 0.5000 0.2155
```

Properties
Uncorrected energy: -6.135 eV per atom
Density of states at the Fermi level: 3.262 states/eV/cell
Total magnetic moment: 0.0 μB/f.u.
Formation enthalpy at 0 K: -624.9 meV/atom

=====

Entry 2:
Computed, not measured: HfZrSiH2 after structural relaxation at the PBE-GGA level of DFT.

The structure in CIF format:
```
data_HfZrSiH2
_chemical_formula_sum 'Hf1 Zr1 Si1 H2'
_cell_length_a 3.765
_cell_length_b 3.765
_cell_length_c 6.097
_cell_angle_alpha 90.00
_cell_angle_beta 90.00
_cell_angle_gamma 90.00
_symmetry_space_group_name_H-M 'P 4/m m m'
_symmetry_Int_Tables_number 123
_symmetry_space_group_name_Hall '-P 4 2'
loop_
_atom_site_label
_atom_site_type_symbol
_atom_site_fract_x
_atom_site_fract_y
_atom_site_fract_z
Hf1 Hf 0.000 0.000 0.000
Zr1 Zr 0.000 0.000 0.500
Si1 Si 0.500 0.500 0.500
H1 H 0.000 0.500 0.000
```

Properties
Uncorrected energy: -5.916 eV per atom
Density of states at the Fermi level: 2.045 states/eV/cell
Total magnetic moment: 0.0 μB/f.u.